# ZnCuTeIr PBE-GGA optimized geometry
data_ZnCuTeIr
_symmetry_space_group_name_H-M 'F -4 3 m'
_symmetry_Int_Tables_number 216
_symmetry_space_group_name_Hall 'F -4 2 3'
_cell_length_a 6.393
_cell_length_b 6.393
_cell_length_c 6.393
_cell_angle_alpha 90.00
_cell_angle_beta 90.00
_cell_angle_gamma 90.00
loop_
_atom_site_label
_atom_site_type_symbol
_atom_site_fract_x
_atom_site_fract_y
_atom_site_fract_z
Zn1 Zn 0.000 0.000 0.000
Cu1 Cu 0.250 0.250 0.250
Te1 Te 0.000 0.000 0.500
Ir1 Ir 0.250 0.250 0.750
# ΔE to the lowest computed polymorph, eV per atom: 0.000
# DFT total energy, eV/atom: -4.02

=====

# Mo4Pb3W2C3 PBE-GGA optimized geometry
data_Mo4Pb3W2C3
_symmetry_space_group_name_H-M 'C 1 2/c 1'
_symmetry_Int_Tables_number 15
_cell_length_a 9.738
_cell_length_b 5.611
_cell_length_c 14.164
_cell_angle_alpha 90.00
_cell_angle_beta 103.02
_cell_angle_gamma 90.00
loop_
_symmetry_equiv_pos_as_xyz
'x,y,z'
'-x,-y,-z'
'-x,y,-z+1/2'
'x,-y,z+1/2'
'x+1/2,y+1/2,z'
'-x+1/2,-y+1/2,-z'
'-x+1/2,y+1/2,-z+1/2'
'x+1/2,-y+1/2,z+1/2'
loop_
_atom_site_label
_atom_site_type_symbol
_atom_site_fract_x
_atom_site_fract_y
_atom_site_fract_z
Mo1 Mo 0.110 0.070 0.079
Mo2 Mo 0.218 0.091 0.421
Pb1 Pb 0.000 0.086 0.750
Pb2 Pb 0.165 0.417 0.249
W1 W 0.065 0.412 0.926
C1 C 0.081 0.256 0.500
C2 C 0.250 0.250 0.000
# DFT total energy, eV/atom: -8.71

=====

# Ho3Mg3AlAg2 PBE-GGA optimized geometry
data_Ho3Mg3AlAg2
_symmetry_space_group_name_H-M 'P -6 2 m'
_symmetry_Int_Tables_number 189
_symmetry_space_group_name_Hall 'P -6 -2'
_cell_length_a 7.6262
_cell_length_b 7.6262
_cell_length_c 4.1584
_cell_angle_alpha 90.00
_cell_angle_beta 90.00
_cell_angle_gamma 120.00
loop_
_atom_site_label
_atom_site_type_symbol
_atom_site_fract_x
_atom_site_fract_y
_atom_site_fract_z
Ho1 Ho 0.0000 0.4125 0.0000
Mg1 Mg 0.0000 0.7527 0.5000
Al1 Al 0.0000 0.0000 0.0000
Ag1 Ag 0.3333 0.6667 0.5000
# DFT total energy, eV/atom: -3.34

=====

# TbZrMo PBE-GGA optimized geometry
data_TbZrMo
_symmetry_space_group_name_H-M 'F -4 3 m'
_symmetry_Int_Tables_number 216
_symmetry_space_group_name_Hall 'F -4 2 3'
_cell_length_a 6.649
_cell_length_b 6.649
_cell_length_c 6.649
_cell_angle_alpha 90.00
_cell_angle_beta 90.00
_cell_angle_gamma 90.00
loop_
_atom_site_label
_atom_site_type_symbol
_atom_site_fract_x
_atom_site_fract_y
_atom_site_fract_z
Tb1 Tb 0.000 0.000 0.000
Zr1 Zr 0.250 0.250 0.750
Mo1 Mo 0.000 0.000 0.500
# Energy relative to the elements, eV/atom: 0.9839
# DFT total energy, eV/atom: -7.02

=====

# BaNdGe3 PBE-GGA optimized geometry
data_BaNdGe3
_symmetry_space_group_name_H-M 'I 4 m m'
_symmetry_Int_Tables_number 107
_symmetry_space_group_name_Hall 'I 4 -2'
_cell_length_a 5.198
_cell_length_b 5.198
_cell_length_c 10.590
_cell_angle_alpha 90.00
_cell_angle_beta 90.00
_cell_angle_gamma 90.00
loop_
_atom_site_label
_atom_site_type_symbol
_atom_site_fract_x
_atom_site_fract_y
_atom_site_fract_z
Ba1 Ba 0.000 0.000 0.000
Nd1 Nd 0.000 0.000 0.642
Ge1 Ge 0.000 0.000 0.355
Ge2 Ge 0.000 0.500 0.281
# DFT total energy, eV/atom: -4.39

=====

# CsKPr PBE-GGA optimized geometry
data_CsKPr
_symmetry_space_group_name_H-M 'F -4 3 m'
_symmetry_Int_Tables_number 216
_symmetry_space_group_name_Hall 'F -4 2 3'
_cell_length_a 9.632
_cell_length_b 9.632
_cell_length_c 9.632
_cell_angle_alpha 90.00
_cell_angle_beta 90.00
_cell_angle_gamma 90.00
loop_
_atom_site_label
_atom_site_type_symbol
_atom_site_fract_x
_atom_site_fract_y
_atom_site_fract_z
Cs1 Cs 0.000 0.000 0.000
K1 K 0.250 0.250 0.250
Pr1 Pr 0.000 0.000 0.500
# ΔE to the lowest computed polymorph, eV per atom: 0.000
# DFT total energy, eV/atom: -1.28

=====

# LaYAg2Pb2 PBE-GGA optimized geometry
data_LaYAg2Pb2
_symmetry_space_group_name_H-M 'P 3 m 1'
_symmetry_Int_Tables_number 156
_cell_length_a 4.8777
_cell_length_b 4.8777
_cell_length_c 7.6467
_cell_angle_alpha 90.00
_cell_angle_beta 90.00
_cell_angle_gamma 120.00
loop_
_symmetry_equiv_pos_as_xyz
'x,y,z'
'-y,x-y,z'
'-x+y,-x,z'
'-y,-x,z'
'-x+y,y,z'
'x,x-y,z'
loop_
_atom_site_label
_atom_site_type_symbol
_atom_site_fract_x
_atom_site_fract_y
_atom_site_fract_z
La1 La 0.0000 0.0000 0.0000
Y1 Y 0.0000 0.0000 0.5022
Ag1 Ag 0.3333 0.6667 0.2133
Ag2 Ag 0.6667 0.3333 0.6842
Pb1 Pb 0.3333 0.6667 0.7762
Pb2 Pb 0.6667 0.3333 0.2878
# DFT total energy, eV/atom: -4.54

=====

# BaCdS2 PBE-GGA optimized geometry
data_BaCdS2
_symmetry_space_group_name_H-M 'P n m a'
_symmetry_Int_Tables_number 62
_cell_length_a 7.320
_cell_length_b 4.215
_cell_length_c 14.081
_cell_angle_alpha 90.00
_cell_angle_beta 90.00
_cell_angle_gamma 90.00
loop_
_symmetry_equiv_pos_as_xyz
'x,y,z'
'-x,-y,-z'
'-x+1/2,-y,z+1/2'
'x+1/2,y,-z+1/2'
'x+1/2,-y+1/2,-z+1/2'
'-x+1/2,y+1/2,z+1/2'
'-x,y+1/2,-z'
'x,-y+1/2,z'
loop_
_atom_site_label
_atom_site_type_symbol
_atom_site_fract_x
_atom_site_fract_y
_atom_site_fract_z
Ba1 Ba 0.134 0.250 0.143
Cd1 Cd 0.123 0.750 0.391
S1 S 0.103 0.250 0.743
S2 S 0.241 0.250 0.475
# DFT total energy, eV/atom: -4.12

=====

# LaPrAg2Sn2 PBE-GGA optimized geometry
data_LaPrAg2Sn2
_symmetry_space_group_name_H-M 'P 3 m 1'
_symmetry_Int_Tables_number 156
_cell_length_a 4.8354
_cell_length_b 4.8354
_cell_length_c 7.6878
_cell_angle_alpha 90.00
_cell_angle_beta 90.00
_cell_angle_gamma 120.00
loop_
_symmetry_equiv_pos_as_xyz
'x,y,z'
'-y,x-y,z'
'-x+y,-x,z'
'-y,-x,z'
'-x+y,y,z'
'x,x-y,z'
loop_
_atom_site_label
_atom_site_type_symbol
_atom_site_fract_x
_atom_site_fract_y
_atom_site_fract_z
La1 La 0.0000 0.0000 0.0000
Pr1 Pr 0.0000 0.0000 0.5004
Ag1 Ag 0.3333 0.6667 0.6984
Ag2 Ag 0.6667 0.3333 0.2065
Sn1 Sn 0.3333 0.6667 0.2824
Sn2 Sn 0.6667 0.3333 0.7777
# DFT total energy, eV/atom: -4.53

=====

# GeB2Ir PBE-GGA optimized geometry
data_GeB2Ir
_symmetry_space_group_name_H-M 'F -4 3 m'
_symmetry_Int_Tables_number 216
_symmetry_space_group_name_Hall 'F -4 2 3'
_cell_length_a 5.727
_cell_length_b 5.727
_cell_length_c 5.727
_cell_angle_alpha 90.00
_cell_angle_beta 90.00
_cell_angle_gamma 90.00
loop_
_atom_site_label
_atom_site_type_symbol
_atom_site_fract_x
_atom_site_fract_y
_atom_site_fract_z
Ge1 Ge 0.000 0.000 0.000
B1 B 0.000 0.000 0.500
B2 B 0.250 0.250 0.250
Ir1 Ir 0.250 0.250 0.750
# DFT total energy, eV/atom: -5.43

=====

# ZrTlAsO PBE-GGA optimized geometry
data_ZrTlAsO
_symmetry_space_group_name_H-M 'P m c 21'
_symmetry_Int_Tables_number 26
_cell_length_a 3.665
_cell_length_b 9.353
_cell_length_c 5.547
_cell_angle_alpha 90.00
_cell_angle_beta 90.00
_cell_angle_gamma 90.00
loop_
_symmetry_equiv_pos_as_xyz
'x,y,z'
'-x,-y,z+1/2'
'-x,y,z'
'x,-y,z+1/2'
loop_
_atom_site_label
_atom_site_type_symbol
_atom_site_fract_x
_atom_site_fract_y
_atom_site_fract_z
Zr1 Zr 0.000 0.137 0.000
Tl1 Tl 0.500 0.390 0.577
As1 As 0.000 0.147 0.497
O1 O 0.500 0.231 0.999
# ΔE to the lowest computed polymorph, eV per atom: 0.000
# DFT total energy, eV/atom: -6.36

=====

# AlCuNiIr PBE-GGA optimized geometry
data_AlCuNiIr
_symmetry_space_group_name_H-M 'F -4 3 m'
_symmetry_Int_Tables_number 216
_symmetry_space_group_name_Hall 'F -4 2 3'
_cell_length_a 5.893
_cell_length_b 5.893
_cell_length_c 5.893
_cell_angle_alpha 90.00
_cell_angle_beta 90.00
_cell_angle_gamma 90.00
loop_
_atom_site_label
_atom_site_type_symbol
_atom_site_fract_x
_atom_site_fract_y
_atom_site_fract_z
Al1 Al 0.000 0.000 0.000
Cu1 Cu 0.250 0.250 0.250
Ni1 Ni 0.250 0.250 0.750
Ir1 Ir 0.000 0.000 0.500
# ΔE to the lowest computed polymorph, eV per atom: 0.096
# DFT total energy, eV/atom: -5.69

=====

# NaRePd PBE-GGA optimized geometry
data_NaRePd
_symmetry_space_group_name_H-M 'F -4 3 m'
_symmetry_Int_Tables_number 216
_symmetry_space_group_name_Hall 'F -4 2 3'
_cell_length_a 6.064
_cell_length_b 6.064
_cell_length_c 6.064
_cell_angle_alpha 90.00
_cell_angle_beta 90.00
_cell_angle_gamma 90.00
loop_
_atom_site_label
_atom_site_type_symbol
_atom_site_fract_x
_atom_site_fract_y
_atom_site_fract_z
Na1 Na 0.000 0.000 0.000
Re1 Re 0.000 0.000 0.500
Pd1 Pd 0.250 0.250 0.250
# ΔE to the lowest computed polymorph, eV per atom: 0.000
# DFT total energy, eV/atom: -5.06

=====

# Ag3Sn4PbO12 PBE-GGA optimized geometry
data_Ag3Sn4PbO12
_symmetry_space_group_name_H-M 'I m -3'
_symmetry_Int_Tables_number 204
_symmetry_space_group_name_Hall '-I 2 2 3'
_cell_length_a 7.939
_cell_length_b 7.939
_cell_length_c 7.939
_cell_angle_alpha 90.00
_cell_angle_beta 90.00
_cell_angle_gamma 90.00
loop_
_atom_site_label
_atom_site_type_symbol
_atom_site_fract_x
_atom_site_fract_y
_atom_site_fract_z
Ag1 Ag 0.000 0.000 0.500
Sn1 Sn 0.250 0.250 0.250
Pb1 Pb 0.000 0.000 0.000
O1 O 0.000 0.297 0.185
# DFT total energy, eV/atom: -5.43

=====

# PuAl3 PBE-GGA optimized geometry
data_PuAl3
_symmetry_space_group_name_H-M 'P 63/m m c'
_symmetry_Int_Tables_number 194
_symmetry_space_group_name_Hall '-P 6c 2c'
_cell_length_a 6.1744
_cell_length_b 6.1744
_cell_length_c 4.6937
_cell_angle_alpha 90.00
_cell_angle_beta 90.00
_cell_angle_gamma 120.00
loop_
_atom_site_label
_atom_site_type_symbol
_atom_site_fract_x
_atom_site_fract_y
_atom_site_fract_z
Pu1 Pu 0.3333 0.6667 0.2500
Al1 Al 0.1544 0.3089 0.7500
# DFT total energy, eV/atom: -6.66

=====

# Nd2ErCd4Hg2 PBE-GGA optimized geometry
data_Nd2ErCd4Hg2
_symmetry_space_group_name_H-M 'A m m 2'
_symmetry_Int_Tables_number 38
_cell_length_a 4.547
_cell_length_b 13.124
_cell_length_c 7.647
_cell_angle_alpha 90.00
_cell_angle_beta 90.00
_cell_angle_gamma 90.00
loop_
_symmetry_equiv_pos_as_xyz
'x,y,z'
'-x,-y,z'
'-x,y,z'
'x,-y,z'
'x,y+1/2,z+1/2'
'-x,-y+1/2,z+1/2'
'-x,y+1/2,z+1/2'
'x,-y+1/2,z+1/2'
loop_
_atom_site_label
_atom_site_type_symbol
_atom_site_fract_x
_atom_site_fract_y
_atom_site_fract_z
Nd1 Nd 0.000 0.211 0.000
Er1 Er 0.000 0.000 0.359
Cd1 Cd 0.000 0.000 0.776
Cd2 Cd 0.500 0.000 0.024
Cd3 Cd 0.500 0.122 0.666
Hg1 Hg 0.500 0.162 0.289
# Energy relative to the elements, eV/atom: -0.3791
# DFT total energy, eV/atom: -2.41

=====

# Pm3P2S PBE-GGA optimized geometry
data_Pm3P2S
_symmetry_space_group_name_H-M 'I m m m'
_symmetry_Int_Tables_number 71
_symmetry_space_group_name_Hall '-I 2 2'
_cell_length_a 4.104
_cell_length_b 5.793
_cell_length_c 12.298
_cell_angle_alpha 90.00
_cell_angle_beta 90.00
_cell_angle_gamma 90.00
loop_
_atom_site_label
_atom_site_type_symbol
_atom_site_fract_x
_atom_site_fract_y
_atom_site_fract_z
Pm1 Pm 0.000 0.000 0.000
Pm2 Pm 0.000 0.000 0.330
P1 P 0.000 0.500 0.334
S1 S 0.000 0.500 0.000
# DFT total energy, eV/atom: -6.65

=====

# ZnO PBE-GGA optimized geometry
data_ZnO
_symmetry_space_group_name_H-M 'P 63/m m c'
_symmetry_Int_Tables_number 194
_symmetry_space_group_name_Hall '-P 6c 2c'
_cell_length_a 3.4486
_cell_length_b 3.4486
_cell_length_c 4.5045
_cell_angle_alpha 90.00
_cell_angle_beta 90.00
_cell_angle_gamma 120.00
loop_
_atom_site_label
_atom_site_type_symbol
_atom_site_fract_x
_atom_site_fract_y
_atom_site_fract_z
Zn1 Zn 0.3333 0.6667 0.2500
O1 O 0.3333 0.6667 0.7500
# DFT total energy, eV/atom: -4.48

=====

# SmGePO PBE-GGA optimized geometry
data_SmGePO
_symmetry_space_group_name_H-M 'P m c 21'
_symmetry_Int_Tables_number 26
_cell_length_a 3.819
_cell_length_b 6.097
_cell_length_c 6.966
_cell_angle_alpha 90.00
_cell_angle_beta 90.00
_cell_angle_gamma 90.00
loop_
_symmetry_equiv_pos_as_xyz
'x,y,z'
'-x,-y,z+1/2'
'-x,y,z'
'x,-y,z+1/2'
loop_
_atom_site_label
_atom_site_type_symbol
_atom_site_fract_x
_atom_site_fract_y
_atom_site_fract_z
Sm1 Sm 0.000 0.228 0.000
Ge1 Ge 0.500 0.386 0.596
P1 P 0.000 0.242 0.421
O1 O 0.500 0.222 0.826
# ΔE to the lowest computed polymorph, eV per atom: 0.062
# DFT total energy, eV/atom: -6.29

=====

# TbLuTl PBE-GGA optimized geometry
data_TbLuTl
_symmetry_space_group_name_H-M 'F -4 3 m'
_symmetry_Int_Tables_number 216
_symmetry_space_group_name_Hall 'F -4 2 3'
_cell_length_a 7.239
_cell_length_b 7.239
_cell_length_c 7.239
_cell_angle_alpha 90.00
_cell_angle_beta 90.00
_cell_angle_gamma 90.00
loop_
_atom_site_label
_atom_site_type_symbol
_atom_site_fract_x
_atom_site_fract_y
_atom_site_fract_z
Tb1 Tb 0.000 0.000 0.000
Lu1 Lu 0.000 0.000 0.500
Tl1 Tl 0.250 0.250 0.750
# ΔE to the lowest computed polymorph, eV per atom: 0.000
# DFT total energy, eV/atom: -3.86

=====

# KRbCuP PBE-GGA optimized geometry
data_KRbCuP
_symmetry_space_group_name_H-M 'A m m 2'
_symmetry_Int_Tables_number 38
_cell_length_a 5.845
_cell_length_b 10.069
_cell_length_c 7.450
_cell_angle_alpha 90.00
_cell_angle_beta 90.00
_cell_angle_gamma 90.00
loop_
_symmetry_equiv_pos_as_xyz
'x,y,z'
'-x,-y,z'
'-x,y,z'
'x,-y,z'
'x,y+1/2,z+1/2'
'-x,-y+1/2,z+1/2'
'-x,y+1/2,z+1/2'
'x,-y+1/2,z+1/2'
loop_
_atom_site_label
_atom_site_type_symbol
_atom_site_fract_x
_atom_site_fract_y
_atom_site_fract_z
K1 K 0.000 0.168 0.000
Rb1 Rb 0.500 0.170 0.714
Cu1 Cu 0.249 0.000 0.355
P1 P 0.000 0.000 0.585
P2 P 0.500 0.000 0.126
# DFT total energy, eV/atom: -3.10

=====

# TbTmHg2Au4 PBE-GGA optimized geometry
data_TbTmHg2Au4
_symmetry_space_group_name_H-M 'P 4/m m m'
_symmetry_Int_Tables_number 123
_symmetry_space_group_name_Hall '-P 4 2'
_cell_length_a 4.915
_cell_length_b 4.915
_cell_length_c 6.954
_cell_angle_alpha 90.00
_cell_angle_beta 90.00
_cell_angle_gamma 90.00
loop_
_atom_site_label
_atom_site_type_symbol
_atom_site_fract_x
_atom_site_fract_y
_atom_site_fract_z
Tb1 Tb 0.000 0.000 0.000
Tm1 Tm 0.500 0.500 0.500
Hg1 Hg 0.000 0.000 0.500
Hg2 Hg 0.500 0.500 0.000
Au1 Au 0.000 0.500 0.256
# Energy relative to the elements, eV/atom: -0.5957
# DFT total energy, eV/atom: -3.44